Record 1
# Ba2LaPd | Alexandria via LeMat-Bulk | PBE-GGA | optimized geometry
data_Ba2LaPd
_space_group_name_H-M_alt 'R -3 m'
_space_group_IT_number 166
_space_group_name_Hall '-R 3 2"'
_cell_length_a 4.1630
_cell_length_b 4.1630
_cell_length_c 35.1369
_cell_angle_alpha 90.00
_cell_angle_beta 90.00
_cell_angle_gamma 120.00
loop_
_atom_site_label
_atom_site_type_symbol
_atom_site_fract_x
_atom_site_fract_y
_atom_site_fract_z
_atom_site_occupancy
Ba1 Ba 0.0000 0.0000 0.1104 1
La1 La 0.0000 0.0000 0.0000 1
Pd1 Pd 0.0000 0.0000 0.5000 1
# **DFT total energy**: -3.48 eV per atom
# **Fermi-level density of states**: 13.03 states/eV/cell
# **M_tot**: 0.4 μB/f.u.
# **Energy of formation**: 0.208 kcal/mol of atoms



Record 2
# Ce2Ni4Se5 | Alexandria via LeMat-Bulk | PBE-GGA | optimized geometry
data_Ce2Ni4Se5
_space_group_name_H-M_alt 'R -3 m'
_space_group_IT_number 166
_space_group_name_Hall '-R 3 2"'
_cell_length_a 3.9622
_cell_length_b 3.9622
_cell_length_c 48.8271
_cell_angle_alpha 90.00
_cell_angle_beta 90.00
_cell_angle_gamma 120.00
loop_
_atom_site_label
_atom_site_type_symbol
_atom_site_fract_x
_atom_site_fract_y
_atom_site_fract_z
_atom_site_occupancy
Ce1 Ce 0.0000 0.0000 0.1277 1
Ni1 Ni 0.0000 0.0000 0.3180 1
Ni2 Ni 0.0000 0.0000 0.4158 1
Se1 Se 0.0000 0.0000 0.2424 1
Se2 Se 0.0000 0.0000 0.3660 1
Se3 Se 0.0000 0.0000 0.5000 1
# **Formation energy from raw total energies**: -0.828 eV/atom
# **DFT total energy**: -5.59 eV per atom
# **Fermi-level density of states**: 40.49 states/eV/cell
# **M_tot**: 1.4 μB/f.u.



Record 3
# ReSiTeO2 | Alexandria via LeMat-Bulk | PBE-GGA | optimized geometry
data_ReSiTeO2
_space_group_name_H-M_alt 'P 4/m m m'
_space_group_IT_number 123
_space_group_name_Hall '-P 4 2'
_cell_length_a 3.5945
_cell_length_b 3.5945
_cell_length_c 5.7134
_cell_angle_alpha 90.00
_cell_angle_beta 90.00
_cell_angle_gamma 90.00
loop_
_atom_site_label
_atom_site_type_symbol
_atom_site_fract_x
_atom_site_fract_y
_atom_site_fract_z
_atom_site_occupancy
Re1 Re 0.0000 0.0000 0.0000 1
Si1 Si 0.0000 0.0000 0.5000 1
Te1 Te 0.5000 0.5000 0.0000 1
O1 O 0.0000 0.5000 0.5000 1
# **Formation energy from raw total energies**: -0.174 eV/atom
# **DFT total energy**: -6.36 eV per atom
# **Fermi-level density of states**: 4.00 states/eV/cell
# **M_tot**: 0.0 μB/f.u.



Across the entries above, calculated volume takes the values 176 221 74 Å³/f.u., respectively.